1.
{
  "formula": "MoHRh",
  "functional": "PBE",
  "state": "optimized geometry",
  "relative_energy_ev_per_atom": 0.0000,
  "dft_energy_ev_per_cell": -43.7,
  "spacegroup": "C2/m, No. 12",
  "magmom_total_mub_per_cell": 0.000,
  "lattice_angstrom": [[2.783, 0.000, 0.000], [0.000, 4.955, -0.126], [-1.392, -0.586, 4.647]],
  "species": ["Mo", "Mo", "H", "H", "Rh", "Rh"],
  "fractional_positions": [[0.883, 0.637, 0.766], [0.117, 0.363, 0.234], [0.243, 0.733, 0.485], [0.757, 0.267, 0.515], [0.616, 0.866, 0.232], [0.384, 0.134, 0.768]]
}

2.
{
  "formula": "Mo3H4Rh",
  "functional": "PBE",
  "state": "optimized geometry",
  "dft_energy_ev_per_cell": -53.7,
  "spacegroup": "Pm-3m, No. 221",
  "magmom_total_mub_per_cell": 0.000,
  "lattice_angstrom": [[-0.130, 3.019, 2.769], [-3.641, 1.185, -1.463], [-1.878, -2.506, 2.644]],
  "species": ["Mo", "Mo", "Mo", "H", "H", "H", "H", "Rh"],
  "fractional_positions": [[0.000, 0.500, 0.500], [0.500, 0.000, 0.500], [0.500, 0.500, 0.000], [0.500, 0.000, 0.000], [0.000, 0.500, 0.000], [0.000, 0.000, 0.500], [0.500, 0.500, 0.500], [0.000, 0.000, 0.000]]
}

3.
{
  "formula": "Mo2H3Rh",
  "functional": "PBE",
  "state": "optimized geometry",
  "dft_energy_ev_per_cell": -157.6,
  "spacegroup": "Pnma, No. 62",
  "magmom_total_mub_per_cell": 0.000,
  "lattice_angstrom": [[-2.549, -1.290, -2.933], [0.815, -5.463, 1.694], [-6.713, 0.711, 5.523]],
  "species": ["Mo", "Mo", "Mo", "Mo", "Mo", "Mo", "Mo", "Mo", "H", "H", "H", "H", "H", "H", "H", "H", "H", "H", "H", "H", "Rh", "Rh", "Rh", "Rh"],
  "fractional_positions": [[0.250, 0.876, 0.741], [0.250, 0.376, 0.759], [0.250, 0.882, 0.416], [0.250, 0.382, 0.084], [0.750, 0.618, 0.916], [0.750, 0.118, 0.584], [0.750, 0.624, 0.241], [0.750, 0.124, 0.259], [0.250, 0.630, 0.582], [0.250, 0.130, 0.918], [0.250, 0.629, 0.910], [0.250, 0.129, 0.590], [0.250, 0.618, 0.259], [0.250, 0.118, 0.241], [0.750, 0.882, 0.759], [0.750, 0.382, 0.741], [0.750, 0.871, 0.410], [0.750, 0.371, 0.090], [0.750, 0.870, 0.082], [0.750, 0.370, 0.418], [0.250, 0.873, 0.087], [0.250, 0.373, 0.413], [0.750, 0.627, 0.587], [0.750, 0.127, 0.913]]
}

4.
{
  "formula": "Mo2H4Rh",
  "functional": "PBE",
  "state": "optimized geometry",
  "dft_energy_ev_per_cell": -41.1,
  "spacegroup": "I4/mmm, No. 139",
  "magmom_total_mub_per_cell": 0.000,
  "lattice_angstrom": [[3.194, 0.000, 0.000], [0.000, 3.194, 0.000], [1.597, 1.597, 5.865]],
  "species": ["H", "H", "H", "H", "Mo", "Mo", "Rh"],
  "fractional_positions": [[0.160, 0.160, 0.680], [0.840, 0.840, 0.320], [0.000, 0.500, 0.000], [0.500, 0.000, 0.000], [0.319, 0.319, 0.363], [0.681, 0.681, 0.637], [0.000, 0.000, 0.000]]
}

5.
{
  "formula": "MoHRh",
  "functional": "PBE",
  "state": "optimized geometry",
  "relative_energy_ev_per_atom": 0.1713,
  "dft_energy_ev_per_cell": -85.4,
  "spacegroup": "Pnma, No. 62",
  "magmom_total_mub_per_cell": 0.000,
  "lattice_angstrom": [[-0.596, 0.444, 4.352], [-5.100, -3.101, -0.382], [2.545, -4.281, 0.785]],
  "species": ["H", "H", "H", "H", "Mo", "Mo", "Mo", "Mo", "Rh", "Rh", "Rh", "Rh"],
  "fractional_positions": [[0.250, 0.894, 0.582], [0.250, 0.606, 0.082], [0.750, 0.106, 0.418], [0.750, 0.394, 0.918], [0.250, 0.889, 0.941], [0.750, 0.389, 0.559], [0.750, 0.111, 0.059], [0.250, 0.611, 0.441], [0.750, 0.642, 0.091], [0.250, 0.142, 0.409], [0.750, 0.858, 0.591], [0.250, 0.358, 0.909]]
}

6.
{
  "formula": "Mo2HRh",
  "functional": "PBE",
  "state": "optimized geometry",
  "relative_energy_ev_per_atom": 0.0000,
  "dft_energy_ev_per_cell": -32.4,
  "spacegroup": "R3m, No. 160",
  "magmom_total_mub_per_cell": 0.000,
  "lattice_angstrom": [[-0.443, -2.786, 0.163], [0.914, -1.446, 2.249], [-5.864, -0.267, 3.987]],
  "species": ["Mo", "Mo", "H", "Rh"],
  "fractional_positions": [[0.061, 0.061, 0.817], [0.272, 0.272, 0.183], [0.668, 0.668, 0.997], [0.499, 0.499, 0.503]]
}

7.
{
  "formula": "Mo2H2Rh",
  "functional": "PBE",
  "state": "optimized geometry",
  "relative_energy_ev_per_atom": 0.0000,
  "dft_energy_ev_per_cell": -35.9,
  "spacegroup": "I4/mmm, No. 139",
  "magmom_total_mub_per_cell": 0.000,
  "lattice_angstrom": [[-1.018, -1.118, 2.413], [0.097, -2.597, -1.163], [6.164, 1.142, 1.449]],
  "species": ["Mo", "Mo", "H", "H", "Rh"],
  "fractional_positions": [[0.657, 0.657, 0.315], [0.343, 0.343, 0.685], [0.818, 0.818, 0.635], [0.182, 0.182, 0.365], [0.000, 0.000, 0.000]]
}

8.
{
  "formula": "Mo3HRh",
  "functional": "PBE",
  "state": "optimized geometry",
  "dft_energy_ev_per_cell": -43.1,
  "spacegroup": "Pm-3m, No. 221",
  "magmom_total_mub_per_cell": 0.000,
  "lattice_angstrom": [[-2.029, 3.082, 1.531], [0.579, -1.446, 3.678], [3.392, 2.090, 0.287]],
  "species": ["H", "Mo", "Mo", "Mo", "Rh"],
  "fractional_positions": [[0.000, 0.000, 0.000], [0.000, 0.500, 0.000], [0.000, 0.000, 0.500], [0.500, 0.000, 0.000], [0.500, 0.500, 0.500]]
}

9.
{
  "formula": "Mo4H2Rh",
  "functional": "PBE",
  "state": "optimized geometry",
  "dft_energy_ev_per_cell": -48.1,
  "spacegroup": "I4/mmm, No. 139",
  "magmom_total_mub_per_cell": 0.000,
  "lattice_angstrom": [[4.633, 0.000, 0.000], [0.000, 4.633, 0.000], [2.317, 2.317, 4.715]],
  "species": ["H", "H", "Mo", "Mo", "Mo", "Mo", "Rh"],
  "fractional_positions": [[0.557, 0.557, 0.886], [0.443, 0.443, 0.114], [0.737, 0.737, 0.527], [0.263, 0.263, 0.473], [0.000, 0.500, 0.000], [0.500, 0.000, 0.000], [0.000, 0.000, 0.000]]
}

10.
{
  "formula": "MoH2Rh2",
  "functional": "PBE",
  "state": "optimized geometry",
  "relative_energy_ev_per_atom": 0.0000,
  "dft_energy_ev_per_cell": -32.6,
  "spacegroup": "I4/mmm, No. 139",
  "magmom_total_mub_per_cell": 0.000,
  "lattice_angstrom": [[2.825, 0.000, 0.000], [0.000, 2.825, 0.000], [1.412, 1.412, 6.253]],
  "species": ["H", "H", "Mo", "Rh", "Rh"],
  "fractional_positions": [[0.750, 0.250, 0.500], [0.250, 0.750, 0.500], [0.000, 0.000, 0.000], [0.350, 0.350, 0.300], [0.650, 0.650, 0.700]]
}

11.
{
  "formula": "Mo2HRh",
  "functional": "PBE",
  "state": "optimized geometry",
  "relative_energy_ev_per_atom": 0.4087,
  "dft_energy_ev_per_cell": -30.8,
  "spacegroup": "R-3m, No. 166",
  "magmom_total_mub_per_cell": 0.000,
  "lattice_angstrom": [[2.798, 0.000, 0.000], [1.399, 2.424, 0.000], [1.399, 0.808, 7.454]],
  "species": ["H", "Mo", "Mo", "Rh"],
  "fractional_positions": [[0.500, 0.500, 0.500], [0.111, 0.111, 0.666], [0.889, 0.889, 0.334], [0.000, 0.000, 0.000]]
}

12.
{
  "formula": "Mo3H12Rh5",
  "functional": "PBE",
  "state": "optimized geometry",
  "dft_energy_ev_per_cell": -425.3,
  "spacegroup": "Ia-3d, No. 230",
  "magmom_total_mub_per_cell": 0.000,
  "lattice_angstrom": [[9.391, 0.000, 0.000], [-3.130, 8.854, 0.000], [-3.130, -4.427, 7.668]],
  "species": ["Mo", "Mo", "Mo", "Mo", "Mo", "Mo", "Mo", "Mo", "Mo", "Mo", "Mo", "Mo", "Rh", "Rh", "Rh", "Rh", "Rh", "Rh", "Rh", "Rh", "Rh", "Rh", "Rh", "Rh", "Rh", "Rh", "Rh", "Rh", "Rh", "Rh", "Rh", "Rh", "H", "H", "H", "H", "H", "H", "H", "H", "H", "H", "H", "H", "H", "H", "H", "H", "H", "H", "H", "H", "H", "H", "H", "H", "H", "H", "H", "H", "H", "H", "H", "H", "H", "H", "H", "H", "H", "H", "H", "H", "H", "H", "H", "H", "H", "H", "H", "H"],
  "fractional_positions": [[0.750, 0.375, 0.125], [0.875, 0.750, 0.125], [0.375, 0.750, 0.625], [0.250, 0.125, 0.375], [0.875, 0.125, 0.250], [0.375, 0.625, 0.250], [0.625, 0.375, 0.750], [0.125, 0.875, 0.750], [0.750, 0.875, 0.625], [0.625, 0.250, 0.375], [0.125, 0.250, 0.875], [0.250, 0.625, 0.875], [0.125, 0.375, 0.250], [0.000, 0.500, 0.000], [0.000, 0.000, 0.000], [0.375, 0.250, 0.125], [0.500, 0.000, 0.500], [0.500, 0.500, 0.000], [0.125, 0.750, 0.375], [0.750, 0.125, 0.875], [0.750, 0.625, 0.375], [0.375, 0.125, 0.750], [0.625, 0.875, 0.250], [0.500, 0.500, 0.500], [0.500, 0.000, 0.000], [0.000, 0.000, 0.500], [0.250, 0.375, 0.625], [0.250, 0.875, 0.125], [0.000, 0.500, 0.500], [0.875, 0.250, 0.625], [0.625, 0.750, 0.875], [0.875, 0.625, 0.750], [0.722, 0.137, 0.055], [0.333, 0.555, 0.418], [0.945, 0.363, 0.278], [0.555, 0.222, 0.137], [0.585, 0.722, 0.667], [0.945, 0.582, 0.167], [0.333, 0.778, 0.415], [0.082, 0.915, 0.137], [0.582, 0.945, 0.667], [0.722, 0.585, 0.167], [0.778, 0.445, 0.363], [0.833, 0.918, 0.055], [0.137, 0.722, 0.555], [0.363, 0.418, 0.085], [0.085, 0.918, 0.363], [0.415, 0.137, 0.582], [0.085, 0.167, 0.222], [0.445, 0.667, 0.082], [0.833, 0.915, 0.278], [0.137, 0.415, 0.082], [0.363, 0.945, 0.778], [0.582, 0.637, 0.415], [0.918, 0.833, 0.555], [0.778, 0.333, 0.915], [0.418, 0.363, 0.585], [0.082, 0.167, 0.445], [0.222, 0.667, 0.085], [0.167, 0.085, 0.722], [0.637, 0.055, 0.222], [0.863, 0.585, 0.918], [0.555, 0.333, 0.918], [0.585, 0.863, 0.418], [0.915, 0.833, 0.778], [0.915, 0.082, 0.637], [0.863, 0.278, 0.445], [0.167, 0.082, 0.945], [0.637, 0.582, 0.915], [0.418, 0.055, 0.333], [0.278, 0.415, 0.833], [0.222, 0.555, 0.637], [0.918, 0.085, 0.863], [0.667, 0.222, 0.585], [0.445, 0.778, 0.863], [0.055, 0.418, 0.833], [0.415, 0.278, 0.333], [0.055, 0.637, 0.722], [0.667, 0.445, 0.582], [0.278, 0.863, 0.945]]
}